Li4Bi2Sb | Alexandria via LeMat-Bulk | PBE | optimized geometry; DOS(E_F) = 1.4 states/eV per cell; formation energy without anion corrections = -2.3 eV per formula unit; E = -21.82 eV/cell; symmetry = Fmmm
1.0
5.0292 1.0503 -1.8674
0.5868 5.1041 -1.8674
-1.2129 -1.3292 7.1463
Sb Li Bi
1 4 2
Cartesian
0.0000 0.0000 0.0000
0.2934 2.5520 -0.9337
3.3122 1.3992 1.7057
2.5146 0.5252 -0.9337
1.0909 3.4261 1.7057
1.1335 1.2421 3.7511
3.2696 3.5831 -0.3397

***

TbTmInOs | Alexandria via LeMat-Bulk | PBE | optimized geometry; DOS(E_F) = 1.9 states/eV per cell; E = -24.61 eV/cell; symmetry = P4mm
1.0
3.3704 0.0000 0.0000
0.0000 3.3704 0.0000
0.0000 0.0000 8.2645
Tb Os In Tm
1 1 1 1
Cartesian
1.6852 1.6852 6.3895
0.0000 0.0000 4.6744
0.0000 0.0000 0.6336
1.6852 1.6852 3.0522

***

BePb2Br | Alexandria via LeMat-Bulk | PBE | optimized geometry; DOS(E_F) = 2.1 states/eV per cell; formation energy without anion corrections = 1.0 eV per formula unit; E = -11.79 eV/cell; symmetry = P4mm
1.0
-0.8338 -1.0974 3.5447
-2.9730 -1.9765 -1.3112
4.8741 -6.7134 -0.9319
Pb Be Br
2 1 1
Cartesian
0.0374 -0.0516 -0.0072
-0.2163 -3.8607 0.7942
1.6521 -2.2755 -0.3159
2.0310 -6.9562 0.3645

***

PuBeP | Alexandria via LeMat-Bulk | PBE | optimized geometry; DOS(E_F) = 38.4 states/eV per cell; E = -144.71 eV/cell; symmetry = P6_222
1.0
5.9387 0.0000 0.0000
-2.9694 5.1431 0.0000
0.0000 0.0000 9.4698
P Be Pu
6 6 6
Cartesian
1.4847 2.5715 6.7057
1.4847 2.5715 2.7640
2.9694 0.0000 9.0772
2.9694 0.0000 3.5491
-1.4847 2.5715 5.9206
-1.4847 2.5715 0.3926
0.5745 3.0971 4.7349
2.9694 1.0510 1.5783
-0.5745 3.0971 7.8915
3.5438 2.0460 7.8915
2.3949 2.0460 4.7349
0.0000 4.0921 1.5783
0.0000 0.0000 7.8915
2.9694 0.0000 6.3132
-1.4847 2.5715 3.1566
0.0000 0.0000 4.7349
1.4847 2.5715 0.0000
0.0000 0.0000 1.5783

***

SnAsC3 | Alexandria via LeMat-Bulk | PBE | optimized geometry; DOS(E_F) = 4.5 states/eV per cell; E = -21.30 eV/cell; symmetry = Pm-3m
1.0
4.3120 0.0000 0.0000
0.0000 4.3120 0.0000
0.0000 0.0000 4.3120
C As Sn
3 1 1
Cartesian
0.0000 0.0000 2.1560
0.0000 2.1560 0.0000
2.1560 0.0000 0.0000
2.1560 2.1560 2.1560
0.0000 0.0000 0.0000

***

AuSeI2 | Alexandria via LeMat-Bulk | PBE | optimized geometry; DOS(E_F) = 6.3 states/eV per cell; formation energy without anion corrections = 2.6 eV per formula unit; E = -7.22 eV/cell; symmetry = Fm-3m
1.0
-2.6099 2.5082 3.8700
-1.7056 4.9624 -0.7386
-5.1849 0.9729 -0.4994
Se I Au
1 2 1
Cartesian
0.0000 0.0000 0.0000
-2.3751 2.1109 0.6580
-7.1253 6.3326 1.9740
-4.7502 4.2217 1.3160

***

RbGaNi3 | Alexandria via LeMat-Bulk | PBE | optimized geometry; DOS(E_F) = 3.2 states/eV per cell; E = -17.99 eV/cell; symmetry = Pm-3m
1.0
-1.7908 2.7008 -3.2820
-4.1817 -1.7574 0.8355
-0.7613 3.3000 3.1310
Ni Rb Ga
3 1 1
Cartesian
-0.8954 1.3504 -1.6410
-0.3806 1.6500 1.5655
-2.0908 -0.8787 0.4178
-3.3669 2.1217 0.3423
0.0000 0.0000 0.0000

***

NdZnRh | Alexandria via LeMat-Bulk | PBE | optimized geometry; DOS(E_F) = 1.1 states/eV per cell; E = -14.71 eV/cell; symmetry = F-43m
1.0
-0.0013 -3.4965 -3.0194
3.8273 -2.5095 -0.6298
0.1784 -4.3605 1.5153
Rh Zn Nd
1 1 1
Cartesian
1.0011 -2.5916 -0.5335
2.0022 -5.1832 -1.0670
0.0000 0.0000 0.0000

***

HoAg2BiSe4 | Alexandria via LeMat-Bulk | PBE | optimized geometry; DOS(E_F) = 0.0 states/eV per cell; formation energy without anion corrections = -5.7 eV per formula unit; E = -33.76 eV/cell; symmetry = P2/m
1.0
-2.8238 -1.4002 2.7367
2.8802 -6.3585 -0.2813
5.2012 -0.6525 5.0329
Ag Ho Se Bi
2 1 4 1
Cartesian
1.1887 -1.0264 3.8848
5.2012 -0.6526 5.0329
4.0407 -3.5055 2.3758
3.1833 -2.7893 5.0408
6.0287 -5.2945 3.5118
2.0744 -5.6220 2.4474
-0.7710 -3.1168 3.9765
0.0282 -3.8794 1.2277

***

> Which of these has the lowest E?

PuBeP

***

Repeat the ninth record exactly.
HoAg2BiSe4 | Alexandria via LeMat-Bulk | PBE | optimized geometry; DOS(E_F) = 0.0 states/eV per cell; formation energy without anion corrections = -5.7 eV per formula unit; E = -33.76 eV/cell; symmetry = P2/m
1.0
-2.8238 -1.4002 2.7367
2.8802 -6.3585 -0.2813
5.2012 -0.6525 5.0329
Ag Ho Se Bi
2 1 4 1
Cartesian
1.1887 -1.0264 3.8848
5.2012 -0.6526 5.0329
4.0407 -3.5055 2.3758
3.1833 -2.7893 5.0408
6.0287 -5.2945 3.5118
2.0744 -5.6220 2.4474
-0.7710 -3.1168 3.9765
0.0282 -3.8794 1.2277